Material: PmNd2ErSe4
Method: DFT, PBE-GGA
State: optimized geometry

Raw formation energy   -1.800 eV/atom
Density of states at the Fermi level   4.64 states/eV/cell
Space-group type   P2/m

Geometry as CIF:
```
data_PmNd2ErSe4
_cell_length_a 4.109
_cell_length_b 7.308
_cell_length_c 7.240
_cell_angle_alpha 71.34
_cell_angle_beta 90.00
_cell_angle_gamma 90.00
_symmetry_space_group_name_H-M 'P 1'
_symmetry_Int_Tables_number 1
_symmetry_space_group_name_Hall 'P 1'
loop_
_atom_site_label
_atom_site_fract_x
_atom_site_fract_y
_atom_site_fract_z
Nd1 0.500 0.000 0.500
Nd2 0.000 0.000 0.000
Se1 0.500 0.264 0.738
Se2 0.500 0.736 0.262
Se3 0.000 0.742 0.746
Se4 0.000 0.258 0.254
Er1 0.000 0.500 0.500
Pm1 0.500 0.500 0.000
```